1.
This record from Alexandria via LeMat-Bulk describes a relaxed structure of CdAsCSe2. The functional is GGA-PBEsol.

```
5
Lattice="4.6338 0.0000 0.0000 0.0000 4.6338 0.0000 0.0000 0.0000 4.0885" Properties=species:S:1:pos:R:3 pbc="T T T"
Cd 0.0000 0.0000 0.0000
As 2.3169 2.3169 0.0000
C 2.3169 2.3169 2.0443
Se 0.0000 2.3169 2.0443
Se 2.3169 0.0000 2.0443
```

## Properties
**Space-group type**: P4/mmm
**Uncorrected formation energy**: 0.92 eV/atom
**Energy above the lowest structure with this stoichiometry**: 0.0 meV per atom

---

2.
This record from Alexandria via LeMat-Bulk describes a relaxed structure of AsCCl2. The functional is GGA-PBEsol.

```
8
Lattice="0.0000 4.3805 4.3805 4.3805 0.0000 4.3805 4.3805 4.3805 0.0000" Properties=species:S:1:pos:R:3 pbc="T T T"
As 1.0951 1.0951 1.0951
As 7.6658 7.6658 7.6658
C 3.2853 3.2853 3.2853
C 5.4756 5.4756 5.4756
Cl 4.3805 2.1902 2.1902
Cl 2.1902 4.3805 2.1902
Cl 2.1902 2.1902 4.3805
Cl 4.3805 4.3805 4.3805
```

## Properties
**Space-group type**: Fd-3m
**Uncorrected formation energy**: 1.52 eV/atom

---

3.
This record from Alexandria via LeMat-Bulk describes a relaxed structure of AsCCl3. The functional is GGA-PBEsol.

```
5
Lattice="4.8855 0.0000 0.0000 0.0000 4.8855 0.0000 0.0000 0.0000 4.8855" Properties=species:S:1:pos:R:3 pbc="T T T"
As 0.0000 0.0000 0.0000
C 2.4427 2.4427 2.4427
Cl 0.0000 0.0000 2.4427
Cl 0.0000 2.4427 0.0000
Cl 2.4427 0.0000 0.0000
```

## Properties
**Space-group type**: Pm-3m
**Uncorrected formation energy**: 1.19 eV/atom

---

> What is the uncorrected formation energy in the first record?

0.92 eV/atom